A plane-wave DFT calculation with PBE was carried out for an optimized crystal structure of HoZrS2.

```
HoZrS2
1.0
3.798 0.000 0.000
1.899 3.289 0.000
1.899 1.096 6.178
S Ho Zr
2 1 1
Direct
0.253 0.253 0.242
0.747 0.747 0.758
0.500 0.500 0.500
0.000 0.000 0.000
```

Offset from the most stable computed form = 0.0 kJ/mol of atoms
Space-group type = R-3m



A plane-wave DFT calculation with PBE was carried out for an optimized crystal structure of HoZr3S6.

```
HoZr3S6
1.0
3.679 0.000 0.000
0.000 10.613 0.066
0.000 -3.484 10.306
Ho Zr S
2 6 12
Direct
0.750 0.046 0.696
0.250 0.954 0.304
0.750 0.431 0.853
0.250 0.569 0.147
0.750 0.682 0.508
0.250 0.318 0.492
0.750 0.143 0.071
0.250 0.857 0.929
0.750 0.482 0.619
0.250 0.518 0.381
0.750 0.913 0.105
0.250 0.087 0.895
0.750 0.391 0.078
0.250 0.609 0.922
0.750 0.736 0.279
0.250 0.264 0.721
0.750 0.123 0.469
0.250 0.877 0.531
0.750 0.803 0.753
0.250 0.197 0.247
```

Space-group type = P2_1/m



A plane-wave DFT calculation with PBE was carried out for an optimized crystal structure of HoZrS.

```
HoZrS
1.0
-2.436 2.113 1.754
-0.113 0.013 3.669
3.019 5.083 1.911
S Zr Ho
1 1 1
Direct
0.362 0.362 0.914
0.110 0.110 0.671
0.602 0.602 0.194
```

Offset from the most stable computed form = 17.4 kJ/mol of atoms
Space-group type = R3m



A plane-wave DFT calculation with PBE was carried out for an optimized crystal structure of Ho2ZrS5.

```
Ho2ZrS5
1.0
-2.961 -0.575 -4.235
-0.689 -5.429 4.411
-9.597 6.007 5.893
Ho Zr S
4 2 10
Direct
0.854 0.709 0.440
0.854 0.709 0.060
0.146 0.291 0.560
0.146 0.291 0.940
0.807 0.614 0.750
0.193 0.386 0.250
0.952 0.903 0.877
0.952 0.903 0.623
0.310 0.620 0.420
0.310 0.620 0.080
0.742 0.483 0.250
0.258 0.517 0.750
0.690 0.380 0.580
0.690 0.380 0.920
0.048 0.097 0.123
0.048 0.097 0.377
```

Offset from the most stable computed form = 4.8 kJ/mol of atoms
Space-group type = Cmcm



A plane-wave DFT calculation with PBE was carried out for an optimized crystal structure of Ho2Sb5.

```
Ho2Sb5
1.0
-1.701 -2.600 -2.845
-4.728 -7.535 9.714
-13.126 6.019 2.350
Ho Sb
8 20
Direct
0.250 0.953 0.362
0.750 0.047 0.638
0.250 0.669 0.578
0.750 0.331 0.422
0.250 0.662 0.855
0.750 0.338 0.145
0.250 0.393 0.770
0.750 0.607 0.230
0.250 0.969 0.090
0.750 0.031 0.910
0.250 0.861 0.679
0.750 0.139 0.321
0.250 0.721 0.064
0.750 0.279 0.936
0.250 0.716 0.347
0.750 0.284 0.653
0.250 0.425 0.265
0.750 0.575 0.735
0.250 0.426 0.551
0.750 0.574 0.449
0.250 0.420 0.975
0.750 0.580 0.025
0.250 0.153 0.170
0.750 0.847 0.830
0.250 0.144 0.482
0.750 0.856 0.518
0.250 0.141 0.778
0.750 0.859 0.222
```

Space-group type = P2_1/m



A plane-wave DFT calculation with PBE was carried out for an optimized crystal structure of Ho4Sb.

```
Ho4Sb
1.0
5.693 0.000 0.000
0.000 5.693 0.000
0.000 0.000 5.693
Sb Ho
1 4
Direct
0.500 0.500 0.500
0.000 0.000 0.000
0.500 0.000 0.500
0.000 0.500 0.500
0.500 0.500 0.000
```

Space-group type = Pm-3m



A plane-wave DFT calculation with PBE was carried out for an optimized crystal structure of HoSb3.

```
HoSb3
1.0
-0.839 -3.813 -1.958
2.612 -2.115 3.001
-4.891 -0.816 3.683
Sb Ho
3 1
Direct
0.500 0.270 0.000
0.500 0.435 0.500
0.000 0.869 0.500
0.000 0.758 0.000
```

Offset from the most stable computed form = 0.0 kJ/mol of atoms
Space-group type = Pmm2



A plane-wave DFT calculation with PBE was carried out for an optimized crystal structure of HoSb5.

```
HoSb5
1.0
-4.150 -0.805 -1.274
0.995 -4.414 -0.452
-2.675 0.906 8.141
Sb Ho
5 1
Direct
0.000 0.657 0.313
0.000 0.343 0.687
0.500 0.500 0.000
0.500 0.152 0.303
0.500 0.848 0.697
0.000 0.000 0.000
```

Space-group type = Cmmm



| no. | total DFT energy (no corrections) (eV per atom) | formation energy (no corrections) (eV/atom) |
| --- | --- | --- |
| 1 | -7.012 | -1.67 |
| 2 | -7.139 | -1.64 |
| 3 | -6.836 | -1.09 |
| 4 | -6.608 | -1.82 |
| 5 | -4.882 | -0.63 |
| 6 | -4.359 | 0.13 |
| 7 | -4.711 | -0.47 |
| 8 | -4.398 | -0.20 |